This record from Alexandria via LeMat-Bulk describes LaCuTe2 after structural relaxation. The functional is GGA-PBE.

Cell: 4.8410 4.8410 24.5005 Å, 90.00 90.00 120.00°
Space group R-3m (No. 166, hexagonal axes)
Asymmetric unit:
1 La 0.0000 0.0000 0.0000 (multiplicity 3)
2 Cu 0.0000 0.0000 0.5000 (multiplicity 3)
3 Te 0.0000 0.0000 0.4006 (multiplicity 6)

crystal system	trigonal
total magnetic moment	0.000	μB per atom
energy relative to the elements, uncorrected	-0.831	eV/atom
energy	-55.89	eV for the cell shown



This record from Alexandria via LeMat-Bulk describes LaCuTe2 after structural relaxation. The functional is GGA-PBE.

Cell: 4.646 6.360 7.688 Å, 90.00 90.00 90.00°
Space group Cmmm (No. 65)
Asymmetric unit:
1 La 0.000 0.000 0.000 (multiplicity 2)
2 Cu 0.000 0.000 0.500 (multiplicity 2)
3 Te 0.000 0.500 0.271 (multiplicity 4)

crystal system	orthorhombic
total magnetic moment	0.000	μB per atom
energy relative to the elements, uncorrected	-0.562	eV/atom
energy	-35.11	eV for the cell shown



Please write out number 2 again, unchanged.
This record from Alexandria via LeMat-Bulk describes LaCuTe2 after structural relaxation. The functional is GGA-PBE.

Cell: 4.646 6.360 7.688 Å, 90.00 90.00 90.00°
Space group Cmmm (No. 65)
Asymmetric unit:
1 La 0.000 0.000 0.000 (multiplicity 2)
2 Cu 0.000 0.000 0.500 (multiplicity 2)
3 Te 0.000 0.500 0.271 (multiplicity 4)

crystal system	orthorhombic
total magnetic moment	0.000	μB per atom
energy relative to the elements, uncorrected	-0.562	eV/atom
energy	-35.11	eV for the cell shown



Question: Which formula does entry 2 have?
Answer: LaCuTe2



Question: Which formula does entry 2 have?
Answer: LaCuTe2